Entry 1:
Compound: Sr2CaSc
Source: the Alexandria database
Functional: PBE
Structure: optimized geometry

Cell: 6.1175 6.1175 6.1175 Å, 60.00 60.00 60.00°
Closest atoms and distances in Å follow each position.
Fractional coordinates of all 4 atoms:
Sr: 0.0000 0.0000 0.0000  4 Sr 3.75, 4 Ca 3.75
Sr: 0.2500 0.2500 0.2500  4 Sc 3.75, 4 Sr 3.75
Ca: 0.7500 0.7500 0.7500  4 Sr 3.75, 4 Sc 3.75
Sc: 0.5000 0.5000 0.5000  4 Ca 3.75, 4 Sr 3.75

- Space-group type: No. 216

Entry 2:
Compound: Sr2CaSc
Source: the Alexandria database
Functional: PBE
Structure: optimized geometry

Cell: 7.0943 7.0943 3.7486 Å, 98.78 98.78 115.59°
Closest atoms and distances in Å follow each position.
Fractional coordinates of all 4 atoms:
Sr: 0.0000 0.5000 0.0000  4 Sr 3.75-3.78, 2 Ca 3.75, 2 Sc 3.75
Sr: 0.5000 0.0000 0.0000  4 Sr 3.75-3.78, 2 Ca 3.75, 2 Sc 3.75
Ca: 0.0000 0.0000 0.5000  2 Ca 3.75, 4 Sr 3.75, 2 Sc 3.78
Sc: 0.5000 0.5000 0.5000  2 Sc 3.75, 4 Sr 3.75, 2 Ca 3.78

- Space-group type: No. 12

Entry 3:
Compound: SrCa2Sc
Source: the Alexandria database
Functional: PBE
Structure: optimized geometry

Cell: 12.6403 12.6403 12.6403 Å, 17.28 17.28 17.28°
Closest atoms and distances in Å follow each position.
Fractional coordinates of all 4 atoms:
Sr: 0.0000 0.0000 0.0000  6 Sr 3.80, 6 Ca 4.08
Ca: 0.2412 0.2412 0.2412  3 Sc 3.54, 6 Ca 3.80
Ca: 0.7588 0.7588 0.7588  3 Sc 3.54, 6 Ca 3.80
Sc: 0.5000 0.5000 0.5000  6 Ca 3.54, 6 Sc 3.80

- Space-group type: No. 166

| no. | VASP energy (eV per atom) | distance to the lowest polymorph of the same formula (eV per formula unit) | E_form (eV per atom) |
| --- | --- | --- | --- |
| 1 | -2.670 | 0.28 | 0.254 |
| 2 | -2.654 | 0.34 | 0.270 |
| 3 | -2.808 | 0.14 | 0.196 |